Entry from the Alexandria database: a relaxed LaGeN crystal (PBE-GGA).

Results
The calculation puts the volume at 22.4 A^3/atom. Its energy above the lowest structure with this stoichiometry is 51.1 kJ/mol of formula units. The calculation puts the uncorrected formation energy at -58.4 kJ/mol of atoms.

a b c (Å): 4.107 4.107 8.737
angles (deg): 106.32 106.32 78.37
Element x y z (fractional)
La 0.173 0.173 0.345
La 0.827 0.827 0.655
Ge 0.309 0.309 0.999
Ge 0.691 0.691 0.001
N 0.250 0.750 0.500
N 0.750 0.250 0.500

---

Entry from the Alexandria database: a relaxed MgCd2Tc crystal (PBE-GGA).

Results
The calculation puts the volume at 18.4 A^3/atom. Its formation enthalpy at 0 K is 0.96 eV per formula unit.

a b c (Å): 5.254 5.254 2.894
angles (deg): 90.00 90.00 113.24
Element x y z (fractional)
Mg 0.000 0.000 0.000
Cd 0.000 0.500 0.500
Cd 0.500 0.000 0.500
Tc 0.500 0.500 0.000

---

What did the first record say?
Entry from the Alexandria database: a relaxed LaGeN crystal (PBE-GGA).

Results
The calculation puts the volume at 22.4 A^3/atom. Its energy above the lowest structure with this stoichiometry is 51.1 kJ/mol of formula units. The calculation puts the uncorrected formation energy at -58.4 kJ/mol of atoms.

a b c (Å): 4.107 4.107 8.737
angles (deg): 106.32 106.32 78.37
Element x y z (fractional)
La 0.173 0.173 0.345
La 0.827 0.827 0.655
Ge 0.309 0.309 0.999
Ge 0.691 0.691 0.001
N 0.250 0.750 0.500
N 0.750 0.250 0.500